The following is a DFT calculation (GGA-PBE) of a relaxed ZnMo2Ru crystal.

Output
ΔH_f (0 K) ... 93 meV per atom
Calculated total energy ... -7.960 eV per atom
DOS(E_F) ... 4.10 states/eV per cell

Cell and atoms, written as extended XYZ:
```
4
Lattice="2.789 0.000 0.000 0.000 2.789 0.000 0.000 0.000 7.700" Properties=species:S:1:pos:R:3 pbc="T T T"
Zn 0.000 0.000 0.000
Mo 1.394 1.394 1.975
Mo 1.394 1.394 5.724
Ru 0.000 0.000 3.850
```

The following is a DFT calculation (GGA-PBE) of a relaxed Zn2MoRu crystal.

Output
ΔH_f (0 K) ... 163 meV per atom
Calculated total energy ... -5.500 eV per atom
DOS(E_F) ... 3.01 states/eV per cell

Cell and atoms, written as extended XYZ:
```
4
Lattice="3.744 0.000 0.000 0.000 3.744 0.000 0.000 0.000 4.161" Properties=species:S:1:pos:R:3 pbc="T T T"
Zn 0.000 1.872 0.000
Zn 1.872 0.000 0.000
Mo 0.000 0.000 2.081
Ru 1.872 1.872 2.081
```

The following is a DFT calculation (GGA-PBE) of a relaxed ZnMoRu2 crystal.

Output
ΔH_f (0 K) ... 99 meV per atom
Calculated total energy ... -7.565 eV per atom
DOS(E_F) ... 4.23 states/eV per cell

Cell and atoms, written as extended XYZ:
```
4
Lattice="2.722 0.000 0.000 0.000 2.722 0.000 0.000 0.000 7.854" Properties=species:S:1:pos:R:3 pbc="T T T"
Zn 0.000 0.000 0.000
Mo 1.361 1.361 2.065
Ru 0.000 0.000 4.173
Ru 1.361 1.361 5.925
```

The following is a DFT calculation (GGA-PBE) of a relaxed Zn2MoRu crystal.

Output
ΔH_f (0 K) ... 130 meV per atom
Calculated total energy ... -5.534 eV per atom
DOS(E_F) ... 3.60 states/eV per cell

Cell and atoms, written as extended XYZ:
```
4
Lattice="1.489 -2.263 0.000 1.489 2.263 0.000 0.000 0.000 8.872" Properties=species:S:1:pos:R:3 pbc="T T T"
Zn 0.000 0.000 0.000
Zn 1.489 0.000 2.235
Mo 1.489 0.000 6.577
Ru 0.000 0.000 4.427
```

The following is a DFT calculation (GGA-PBE) of a relaxed ZnMoRu2 crystal.

Output
ΔH_f (0 K) ... 333 meV per atom
Calculated total energy ... -7.331 eV per atom
DOS(E_F) ... 6.67 states/eV per cell

Cell and atoms, written as extended XYZ:
```
4
Lattice="0.000 3.080 3.080 3.080 0.000 3.080 3.080 3.080 0.000" Properties=species:S:1:pos:R:3 pbc="T T T"
Zn 0.000 0.000 0.000
Mo 4.620 4.620 4.620
Ru 1.540 1.540 1.540
Ru 3.080 3.080 3.080
```

The following is a DFT calculation (GGA-PBE) of a relaxed ZnMo2Ru crystal.

Output
ΔH_f (0 K) ... 631 meV per atom
Calculated total energy ... -7.422 eV per atom
DOS(E_F) ... 5.12 states/eV per cell

Cell and atoms, written as extended XYZ:
```
8
Lattice="-3.586 3.586 2.588 3.586 -3.586 2.588 3.586 3.586 -2.588" Properties=species:S:1:pos:R:3 pbc="T T T"
Zn 0.000 0.000 0.000
Zn 0.000 3.586 1.294
Mo 1.793 -1.565 1.941
Mo 2.020 1.793 0.647
Mo 1.793 5.151 -0.647
Mo 1.565 1.793 3.235
Ru 3.586 0.000 1.294
Ru 0.000 0.000 2.588
```

The following is a DFT calculation (GGA-PBE) of a relaxed ZnMo2Ru crystal.

Output
ΔH_f (0 K) ... 150 meV per atom
Calculated total energy ... -7.903 eV per atom
DOS(E_F) ... 4.08 states/eV per cell

Cell and atoms, written as extended XYZ:
```
4
Lattice="1.388 0.801 9.082 -1.388 0.801 9.082 0.000 -1.603 9.082" Properties=species:S:1:pos:R:3 pbc="T T T"
Zn 0.000 0.000 0.000
Mo 0.000 0.000 6.749
Mo 0.000 0.000 20.497
Ru 0.000 0.000 13.623
```

The following is a DFT calculation (GGA-PBE) of a relaxed ZnMoRu2 crystal.

Output
ΔH_f (0 K) ... 72 meV per atom
Calculated total energy ... -7.593 eV per atom
DOS(E_F) ... 3.06 states/eV per cell

Cell and atoms, written as extended XYZ:
```
4
Lattice="4.747 -1.505 0.000 4.747 1.505 0.000 -1.646 0.000 4.042" Properties=species:S:1:pos:R:3 pbc="T T T"
Zn 0.000 0.000 0.000
Mo 6.614 0.000 1.384
Ru 1.014 0.000 3.419
Ru 3.947 0.000 2.028
```

The following is a DFT calculation (GGA-PBE) of a relaxed ZnMo2Ru crystal.

Output
ΔH_f (0 K) ... 171 meV per atom
Calculated total energy ... -7.882 eV per atom
DOS(E_F) ... 5.01 states/eV per cell

Cell and atoms, written as extended XYZ:
```
4
Lattice="-1.927 1.927 4.023 1.927 -1.927 4.023 1.927 1.927 -4.023" Properties=species:S:1:pos:R:3 pbc="T T T"
Zn 0.000 0.000 0.000
Mo 1.927 0.000 2.012
Mo 0.000 0.000 4.023
Ru 0.000 1.927 2.012
```

The following is a DFT calculation (GGA-PBE) of a relaxed ZnMoRu2 crystal.

Output
ΔH_f (0 K) ... 95 meV per atom
Calculated total energy ... -7.569 eV per atom
DOS(E_F) ... 3.79 states/eV per cell

Cell and atoms, written as extended XYZ:
```
4
Lattice="4.389 -1.384 0.000 4.389 1.384 0.000 -0.774 0.000 4.765" Properties=species:S:1:pos:R:3 pbc="T T T"
Zn 0.000 0.000 0.000
Mo 4.002 0.000 2.382
Ru 1.587 0.000 3.599
Ru 6.417 0.000 1.166
```

The following is a DFT calculation (GGA-PBE) of a relaxed ZnMoRu4 crystal.

Output
ΔH_f (0 K) ... 365 meV per atom
Calculated total energy ... -7.837 eV per atom
DOS(E_F) ... 7.57 states/eV per cell

Cell and atoms, written as extended XYZ:
```
6
Lattice="0.000 3.575 3.575 3.575 0.000 3.575 3.575 3.575 0.000" Properties=species:S:1:pos:R:3 pbc="T T T"
Zn 0.000 0.000 0.000
Mo 5.362 5.362 5.362
Ru 2.678 2.678 2.678
Ru 4.471 4.471 2.678
Ru 4.471 2.678 4.471
Ru 2.678 4.471 4.471
```

The following is a DFT calculation (GGA-PBE) of a relaxed ZnMoRu2 crystal.

Output
ΔH_f (0 K) ... 166 meV per atom
Calculated total energy ... -7.498 eV per atom
DOS(E_F) ... 4.67 states/eV per cell

Cell and atoms, written as extended XYZ:
```
4
Lattice="1.476 -2.266 0.000 1.476 2.266 0.000 0.000 0.000 8.782" Properties=species:S:1:pos:R:3 pbc="T T T"
Zn 0.000 0.000 0.000
Mo 0.000 0.000 4.391
Ru 1.476 0.000 2.194
Ru 1.476 0.000 6.588
```